Entry 1:
Mg5Cd, relaxed, DFT PBE-GGA; V = 135.6 Å³ per cell; energy of formation from the pure elements = -0.026 eV per atom; DOS(E_F) = 2.10 states/eV per cell; total DFT energy (no corrections) = -1.507 eV/atom
1.0
-1.285 -1.156 2.709
2.834 0.322 1.482
-3.284 12.175 3.638
Cd Mg
1 5
Cartesian
-1.962 9.729 5.127
-3.256 12.071 3.607
0.246 1.540 2.680
-1.095 4.058 1.213
-0.887 5.742 3.936
-2.217 8.221 2.456

---

Entry 2:
MgCd3, relaxed, DFT PBE-GGA; V = 91.8 Å³ per cell; energy of formation from the pure elements = 0.002 eV per atom; DOS(E_F) = 1.06 states/eV per cell; ΔE to the lowest computed polymorph = 73 meV/atom; total DFT energy (no corrections) = -1.083 eV/atom
1.0
11.510 0.190 0.112
11.055 3.208 0.112
11.055 1.665 2.745
Mg Cd
1 3
Cartesian
25.216 3.798 2.226
0.132 0.020 0.012
8.405 1.266 0.742
16.679 2.512 1.472

---

Entry 3:
MgCd3, relaxed, DFT PBE-GGA; V = 180.1 Å³ per cell; energy of formation from the pure elements = 0.437 eV per atom; DOS(E_F) = 2.88 states/eV per cell; ΔE to the lowest computed polymorph = 508 meV/atom; total DFT energy (no corrections) = -0.648 eV/atom
1.0
-4.268 -0.630 3.643
3.083 -3.678 2.975
2.041 4.238 3.124
Cd Mg
3 1
Cartesian
1.021 2.119 1.562
1.541 -1.839 1.488
-2.134 -0.315 1.822
0.000 0.000 0.000

---

Entry 4:
MgCd, relaxed, DFT PBE-GGA; V = 44.6 Å³ per cell; energy of formation from the pure elements = -0.072 eV per atom; DOS(E_F) = 0.58 states/eV per cell; total DFT energy (no corrections) = -1.326 eV/atom
1.0
-1.300 -3.508 -3.621
1.527 -4.419 -2.290
-1.269 -4.997 -0.726
Mg Cd
1 1
Cartesian
-0.521 -6.462 -3.319
0.000 0.000 0.000